No. 1
DFT (PBE-GGA) results for an optimized crystal structure of BaInAu4.

As for the calculated formation energy: -0.363 eV per atom. The value obtained for the energy above the lowest structure with this stoichiometry is 0.079 eV per atom. The total energy is -79.796 eV/cell.

It has space group F-43m (No. 216), with a = 8.230 Å, b = 8.230 Å, c = 8.230 Å, α = 90.00°, β = 90.00° and γ = 90.00°. The inequivalent atoms are Ba at (0.000, 0.000, 0.000), In at (0.250, 0.250, 0.750) and Au at (0.124, 0.124, 0.376).

---

No. 2
DFT (PBE-GGA) results for an optimized crystal structure of Ba2InAu.

As for the calculated formation energy: -0.421 eV per atom. The total energy is -23.090 eV/cell.

It has space group C2/m (No. 12), with a = 7.995 Å, b = 4.608 Å, c = 9.475 Å, α = 90.00°, β = 106.30° and γ = 90.00°. The inequivalent atoms are Ba at (0.241, 0.000, 0.223), In at (0.000, 0.000, 0.500) and Au at (0.000, 0.500, 0.000).

---

No. 3
DFT (PBE-GGA) results for an optimized crystal structure of BaIn9Au2.

As for the calculated formation energy: -0.187 eV per atom. The value obtained for the energy above the lowest structure with this stoichiometry is 0.000 eV per atom. The total energy is -141.489 eV/cell.

It has space group I4_1/amd (No. 141, origin choice 2), with a = 12.323 Å, b = 12.323 Å, c = 8.470 Å, α = 90.00°, β = 90.00° and γ = 90.00°. The inequivalent atoms are Ba at (0.000, 0.250, 0.375), In at (0.000, 0.250, 0.875), In at (0.123, 0.056, 0.673) and Au at (0.000, 0.000, 0.000).

---

No. 4
DFT (PBE-GGA) results for an optimized crystal structure of BaIn2Au.

As for the calculated formation energy: -0.369 eV per atom. The total energy is -12.152 eV/cell.

It has space group Pm (No. 6), with a = 4.055 Å, b = 4.470 Å, c = 7.126 Å, α = 90.00°, β = 106.23° and γ = 90.00°. The inequivalent atoms are Ba at (0.000, 0.000, 0.000), In at (0.263, 0.000, 0.531), In at (0.677, 0.500, 0.357) and Au at (0.396, 0.500, 0.786).

---

No. 5
DFT (PBE-GGA) results for an optimized crystal structure of BaIn2Au.

As for the calculated formation energy: -0.462 eV per atom. The total energy is -25.050 eV/cell.

It has space group Cm (No. 8), with a = 8.357 Å, b = 4.826 Å, c = 6.816 Å, α = 90.00°, β = 114.03° and γ = 90.00°. The inequivalent atoms are Ba at (0.000, 0.000, 0.000), In at (0.210, 0.000, 0.630), In at (0.457, 0.000, 0.369) and Au at (0.316, 0.500, 0.447).

---

No. 6
DFT (PBE-GGA) results for an optimized crystal structure of BaInAu2.

As for the calculated formation energy: -0.509 eV per atom. The total energy is -13.251 eV/cell.

It has space group Pm (No. 6), with a = 4.403 Å, b = 5.040 Å, c = 5.509 Å, α = 90.00°, β = 90.39° and γ = 90.00°. The inequivalent atoms are Ba at (0.000, 0.000, 0.000), In at (0.492, 0.500, 0.664), Au at (0.502, 0.000, 0.466) and Au at (0.504, 0.500, 0.165).